1.
VASP calculation (GGA-PBE) on a geometry-optimized Ce6CdTc2 structure.

```
Ce6CdTc2
1.0
-0.345 -0.313 5.005
3.466 -3.751 -2.520
5.957 6.431 0.813
Tc Ce Cd
2 6 1
Direct
0.729 0.458 0.883 Tc
0.271 0.542 0.117 Tc
0.050 0.099 0.865 Ce
0.392 0.784 0.828 Ce
0.302 0.604 0.384 Ce
0.608 0.216 0.172 Ce
0.698 0.396 0.616 Ce
0.950 0.901 0.135 Ce
0.000 0.000 0.500 Cd
```

Computed properties:
VASP energy, eV per cell: -58.59
ΔE_f, eV/atom: -0.149
Mass density, g cm⁻³: 8.50
V, Å³/atom: 24.9
M_tot, μB per formula unit: 0.0



2.
VASP calculation (GGA-PBE) on a geometry-optimized Pd5Pt4W structure.

```
Pd5Pt4W
1.0
-2.574 0.560 2.893
-2.042 -6.791 -0.502
6.511 1.545 2.848
Pd Pt W
5 4 1
Direct
0.500 0.500 0.000 Pd
0.166 0.712 0.332 Pd
0.829 0.888 0.658 Pd
0.171 0.112 0.342 Pd
0.834 0.288 0.668 Pd
0.325 0.588 0.649 Pt
0.675 0.412 0.351 Pt
0.980 0.739 0.960 Pt
0.020 0.261 0.040 Pt
0.500 0.000 0.000 W
```

Computed properties:
VASP energy, eV per cell: -62.29
ΔE_f, eV/atom: 0.079
Mass density, g cm⁻³: 14.79
V, Å³/atom: 16.8
M_tot, μB per formula unit: 0.0



3.
VASP calculation (GGA-PBE) on a geometry-optimized LiGa structure.

```
LiGa
1.0
7.751 0.000 0.000
0.000 7.751 0.000
0.000 0.000 4.880
Li Ga
8 8
Direct
0.699 0.078 0.500 Li
0.922 0.699 0.500 Li
0.301 0.922 0.500 Li
0.301 0.078 0.000 Li
0.078 0.699 0.000 Li
0.699 0.922 0.000 Li
0.078 0.301 0.500 Li
0.922 0.301 0.000 Li
0.408 0.268 0.500 Ga
0.268 0.408 0.000 Ga
0.268 0.592 0.500 Ga
0.408 0.732 0.000 Ga
0.732 0.408 0.500 Ga
0.732 0.592 0.000 Ga
0.592 0.732 0.500 Ga
0.592 0.268 0.000 Ga
```

Computed properties:
VASP energy, eV per cell: -42.40
ΔE_f, eV/atom: -0.180
Mass density, g cm⁻³: 3.47
V, Å³/atom: 18.3
M_tot, μB per formula unit: 0.0



4.
VASP calculation (GGA-PBE) on a geometry-optimized SrCu2PIr structure.

```
SrCu2PIr
1.0
-1.033 -4.560 -0.265
4.334 -1.189 3.563
-2.888 0.441 3.660
Ir P Sr Cu
1 1 1 2
Direct
0.000 0.000 0.000 Ir
0.500 0.500 0.500 P
0.000 0.500 0.000 Sr
0.000 0.000 0.500 Cu
0.500 0.000 0.000 Cu
```

Computed properties:
VASP energy, eV per cell: -20.07
ΔE_f, eV/atom: 0.816
Mass density, g cm⁻³: 5.78
V, Å³/atom: 25.2
M_tot, μB per formula unit: 1.8



5.
VASP calculation (GGA-PBE) on a geometry-optimized BeN2F2 structure.

```
BeN2F2
1.0
3.665 0.000 0.000
0.000 3.665 0.000
0.000 0.000 3.327
F N Be
2 2 1
Direct
0.000 0.000 0.500 F
0.500 0.500 0.500 F
0.000 0.500 0.000 N
0.500 0.000 0.000 N
0.000 0.000 0.000 Be
```

Computed properties:
VASP energy, eV per cell: -20.12
Mass density, g cm⁻³: 2.79
V, Å³/atom: 8.9
Distance to the lowest polymorph of the same formula, meV/atom: 567
Energy relative to the elements, uncorrected, kJ/mol of atoms: 77
M_tot, μB per formula unit: 2.5



6.
VASP calculation (GGA-PBE) on a geometry-optimized Zn2AsAu structure.

```
Zn2AsAu
1.0
6.750 0.455 -1.005
5.896 3.318 -1.005
-0.590 -0.176 3.917
As Zn Au
1 2 1
Direct
0.474 0.474 0.473 As
0.696 0.696 0.695 Zn
0.061 0.061 0.062 Zn
0.269 0.269 0.270 Au
```

Computed properties:
VASP energy, eV per cell: -10.61
ΔE_f, eV/atom: -0.033
Mass density, g cm⁻³: 8.87
V, Å³/atom: 18.8
M_tot, μB per formula unit: 0.0



7.
VASP calculation (GGA-PBE) on a geometry-optimized HfTc3Ge structure.

```
HfTc3Ge
1.0
4.533 0.000 0.000
0.000 4.533 0.000
0.000 0.000 4.533
Ge Hf Tc
1 1 3
Direct
0.000 0.000 0.000 Ge
0.500 0.500 0.500 Hf
0.500 0.000 0.000 Tc
0.000 0.000 0.500 Tc
0.000 0.500 0.000 Tc
```

Computed properties:
VASP energy, eV per cell: -41.95
ΔE_f, eV/atom: 0.744
Mass density, g cm⁻³: 9.72
V, Å³/atom: 18.6
Distance to the lowest polymorph of the same formula, meV/atom: 0
M_tot, μB per formula unit: 1.9



8.
VASP calculation (GGA-PBE) on a geometry-optimized ScGa2Pd2 structure.

```
ScGa2Pd2
1.0
7.494 0.000 0.000
0.000 7.494 0.000
0.000 0.000 2.948
Pd Ga Sc
4 4 2
Direct
0.639 0.139 0.000 Pd
0.361 0.861 0.000 Pd
0.139 0.361 0.000 Pd
0.861 0.639 0.000 Pd
0.158 0.658 0.500 Ga
0.658 0.842 0.500 Ga
0.842 0.342 0.500 Ga
0.342 0.158 0.500 Ga
0.500 0.500 0.000 Sc
0.000 0.000 0.000 Sc
```

Computed properties:
VASP energy, eV per cell: -51.73
ΔE_f, eV/atom: -0.619
Mass density, g cm⁻³: 7.97
V, Å³/atom: 16.6
M_tot, μB per formula unit: 0.0



Repeat the first record exactly.
VASP calculation (GGA-PBE) on a geometry-optimized Ce6CdTc2 structure.

```
Ce6CdTc2
1.0
-0.345 -0.313 5.005
3.466 -3.751 -2.520
5.957 6.431 0.813
Tc Ce Cd
2 6 1
Direct
0.729 0.458 0.883 Tc
0.271 0.542 0.117 Tc
0.050 0.099 0.865 Ce
0.392 0.784 0.828 Ce
0.302 0.604 0.384 Ce
0.608 0.216 0.172 Ce
0.698 0.396 0.616 Ce
0.950 0.901 0.135 Ce
0.000 0.000 0.500 Cd
```

Computed properties:
VASP energy, eV per cell: -58.59
ΔE_f, eV/atom: -0.149
Mass density, g cm⁻³: 8.50
V, Å³/atom: 24.9
M_tot, μB per formula unit: 0.0



Q: Which formula does entry 8 have?
A: ScGa2Pd2



Q: Which of these has the highest V?
A: SrCu2PIr